Record 1
DFT (GGA-PBE) results for an optimized crystal structure of CaAl.

The symmetry is P6_3/mmc, No. 194. The value obtained for the formation energy is 0.563 eV per atom. Its size of the total moment is 0.00 μB/f.u. For the theoretical density, the calculation gives 1384 kg/m3.

a b c (Å): 5.4816 5.4816 6.1837
angles (deg): 90.00 90.00 120.00
With the nearest neighbours (Å) after each atom.
Fractional coordinates of all 4 atoms:
Ca1 0.3333 0.6667 0.2500  5 Al 3.09-3.16
Ca2 0.6667 0.3333 0.7500  5 Al 3.09-3.16
Al1 0.3333 0.6667 0.7500  5 Ca 3.09-3.16
Al2 0.6667 0.3333 0.2500  5 Ca 3.09-3.16

---

Record 2
DFT (GGA-PBE) results for an optimized crystal structure of Ca3Al.

The symmetry is Pmm2, No. 25. The value obtained for the formation energy is 0.111 eV per atom. Its size of the total moment is 0.00 μB/f.u. For the theoretical density, the calculation gives 1702 kg/m3.

a b c (Å): 3.5710 3.7573 10.7046
angles (deg): 90.00 90.00 90.00
With the nearest neighbours (Å) after each atom.
Fractional coordinates of all 4 atoms:
Ca1 0.0000 0.0000 0.0000  10 Ca 3.57-3.95
Ca2 0.0000 0.5000 0.3124  4 Al 3.19
Ca3 0.5000 0.5000 0.7210  2 Al 3.14
Al1 0.5000 0.0000 0.4855  6 Ca 3.14-3.19

---

Record 3
DFT (GGA-PBE) results for an optimized crystal structure of CaAl5.

The symmetry is C2/m, No. 12. The value obtained for the formation energy is 0.006 eV per atom. Its size of the total moment is 0.00 μB/f.u. For the theoretical density, the calculation gives 2456 kg/m3.

a b c (Å): 11.6277 3.0711 6.9106
angles (deg): 90.00 106.49 90.00
With the nearest neighbours (Å) after each atom.
Fractional coordinates of all 12 atoms:
Ca1 0.0000 0.0000 0.0000  2 Ca 3.07, 10 Al 3.15-3.41
Ca2 0.5000 0.5000 0.0000  2 Ca 3.07, 10 Al 3.15-3.41
Al1 0.0000 0.0000 0.5000  10 Al 2.75-3.07
Al2 0.1622 0.5000 0.3771  7 Al 2.73-2.90
Al3 0.1955 0.5000 0.8099  9 Al 2.82-3.07
Al4 0.3045 0.0000 0.1901  9 Al 2.82-3.07
Al5 0.3378 0.0000 0.6229  7 Al 2.73-2.90
Al6 0.5000 0.5000 0.5000  10 Al 2.75-3.07
Al7 0.6622 0.0000 0.3771  7 Al 2.73-2.90
Al8 0.6955 0.0000 0.8099  9 Al 2.82-3.07
Al9 0.8045 0.5000 0.1901  9 Al 2.82-3.07
Al10 0.8378 0.5000 0.6229  7 Al 2.73-2.90